[1]
Density functional theory data (GGA-PBE) for an optimized crystal structure of Hg2TeAu.

Geometry as extended XYZ:
```
4
Lattice="-2.0645 3.3811 4.0656 2.0645 -3.3811 4.0656 2.0645 3.3811 -4.0656" Properties=species:S:1:pos:R:3 pbc="T T T"
Hg 0.0000 0.0000 0.0000
Hg 0.0000 3.3811 1.9637
Te 0.0000 0.0000 3.7180
Au 2.0645 0.0000 1.9466
```

Calculated values
**Electronic total energy**: -1.648 eV per atom
**Symmetry**: Imm2, No. 44
**E_form (uncorrected)**: 108 meV/atom

[2]
Density functional theory data (GGA-PBE) for an optimized crystal structure of Hg2TeAu.

Geometry as extended XYZ:
```
4
Lattice="4.0615 0.0000 0.0000 0.0000 4.0615 0.0000 0.0000 0.0000 6.7112" Properties=species:S:1:pos:R:3 pbc="T T T"
Hg 0.0000 2.0308 0.0000
Hg 2.0308 0.0000 0.0000
Te 0.0000 0.0000 3.3556
Au 2.0308 2.0308 3.3556
```

Calculated values
**Electronic total energy**: -1.687 eV per atom
**Symmetry**: P4/mmm, No. 123
**E_form (uncorrected)**: 69 meV/atom

[3]
Density functional theory data (GGA-PBE) for an optimized crystal structure of Hg2TeAu.

Geometry as extended XYZ:
```
4
Lattice="2.1463 1.2392 6.5338 -2.1463 1.2392 6.5338 0.0000 -2.4784 6.5338" Properties=species:S:1:pos:R:3 pbc="T T T"
Hg 0.0000 0.0000 4.7692
Hg 0.0000 0.0000 14.8323
Te 0.0000 0.0000 0.0000
Au 0.0000 0.0000 9.8008
```

Calculated values
**Electronic total energy**: -1.684 eV per atom
**Symmetry**: R-3m, No. 166
**E_form (uncorrected)**: 72 meV/atom

[4]
Density functional theory data (GGA-PBE) for an optimized crystal structure of Hg2TeAu.

Geometry as extended XYZ:
```
4
Lattice="3.9694 0.0000 0.0000 0.0000 3.9694 0.0000 0.0000 0.0000 7.4913" Properties=species:S:1:pos:R:3 pbc="T T T"
Hg 0.0000 0.0000 0.0000
Hg 1.9847 1.9847 1.2258
Te 0.0000 0.0000 4.3854
Au 1.9847 1.9847 4.1333
```

Calculated values
**Electronic total energy**: -1.723 eV per atom
**Symmetry**: P4mm, No. 99
**E_form (uncorrected)**: 32 meV/atom

What did the first record say?
Density functional theory data (GGA-PBE) for an optimized crystal structure of Hg2TeAu.

Geometry as extended XYZ:
```
4
Lattice="-2.0645 3.3811 4.0656 2.0645 -3.3811 4.0656 2.0645 3.3811 -4.0656" Properties=species:S:1:pos:R:3 pbc="T T T"
Hg 0.0000 0.0000 0.0000
Hg 0.0000 3.3811 1.9637
Te 0.0000 0.0000 3.7180
Au 2.0645 0.0000 1.9466
```

Calculated values
**Electronic total energy**: -1.648 eV per atom
**Symmetry**: Imm2, No. 44
**E_form (uncorrected)**: 108 meV/atom